1.
BeTlZnIrBr | PBE | optimized geometry

## Properties
- electronic total energy (eV/atom) = -3.625
- energy relative to the elements, uncorrected (eV per atom) = -0.0446
- E above lowest polymorph (eV/f.u.) = 0.62
- calculated density (Mg/m³) = 7.6
- magnetization (μB/f.u.) = 0.00
- crystal system = triclinic
- volume (Å³/f.u.) = 120.2

Structure (POSCAR):
```
BeTlZnIrBr
1.0
3.2155 0.0072 -0.0046
1.6034 5.0866 0.0070
0.0037 0.4483 7.3540
Br Ir Tl Zn Be
1 1 1 1 1
Direct
0.1374 0.6722 0.0953
0.8127 0.3227 0.5567
0.5364 0.8714 0.5435
0.2737 0.4019 0.8154
0.2436 0.4592 0.3563
```

2.
Ac2Sm3Y7 | PBE | optimized geometry

## Properties
- electronic total energy (eV/atom) = -5.532
- calculated density (Mg/m³) = 6.1
- magnetization (μB/f.u.) = 0.24
- crystal system = monoclinic
- formation energy (meV per atom) = 103
- volume (Å³/f.u.) = 418.4

Structure (POSCAR):
```
Ac2Sm3Y7
1.0
-2.9337 1.2871 1.6945
-3.8158 -2.9812 -4.3419
-0.4425 -14.4929 10.2423
Sm Y Ac
3 7 2
Direct
0.0000 0.9957 0.3393
0.0000 0.0043 0.6607
0.5000 0.5000 0.0000
0.5000 0.2405 0.5009
0.5000 0.1703 0.1621
0.5000 0.8297 0.8379
0.0000 0.6764 0.1601
0.5000 0.7595 0.4991
0.0000 0.0000 0.0000
0.0000 0.3236 0.8399
0.5000 0.5018 0.3252
0.5000 0.4982 0.6748
```

3.
PrTm2Zn9 | PBE | optimized geometry

## Properties
- electronic total energy (eV/atom) = -2.418
- calculated density (Mg/m³) = 8.0
- magnetization (μB/f.u.) = 0.00
- crystal system = trigonal
- formation energy (meV per atom) = -319
- volume (Å³/f.u.) = 221.2

Structure (POSCAR):
```
PrTm2Zn9
1.0
5.2314 0.0000 1.5569
2.3840 4.6566 1.5569
0.1292 0.0790 9.1331
Tm Zn Pr
2 9 1
Direct
0.8585 0.8585 0.4245
0.1415 0.1415 0.5755
0.5877 0.5877 0.7479
0.6648 0.6648 0.0057
0.3352 0.3352 0.9943
0.9234 0.4123 0.2521
0.0766 0.5877 0.7479
0.5877 0.0766 0.7479
0.5000 0.5000 0.5000
0.4123 0.9234 0.2521
0.4123 0.4123 0.2521
0.0000 0.0000 0.0000
```